Density functional theory data (PBE-GGA) for an optimized crystal structure of La6GaCl8.

Summary:
Density (g cm⁻³): 4.22
Formation energy from raw total energies (kcal/mol of atoms): -41.397
Raw total energy (eV per atom): -4.95

extended XYZ file:
```
15
Lattice="-5.208 1.420 4.806 0.201 -3.045 6.552 3.799 7.472 7.344" Properties=species:S:1:pos:R:3 pbc="T T T"
Cl 0.241 1.048 7.158
Cl -3.339 3.068 8.111
La -0.630 -1.244 8.746
La -2.497 1.259 5.977
La -4.169 0.720 9.763
Cl 2.129 6.929 11.129
Ga 0.000 0.000 0.000
Cl -1.449 4.799 11.544
Cl -3.337 -1.082 7.573
Cl 0.303 5.293 7.738
Cl 2.131 2.779 10.591
La 2.961 5.127 8.939
La -0.578 7.091 9.956
La 1.289 4.588 12.725
Cl -1.511 0.554 10.964
```

Density functional theory data (PBE-GGA) for an optimized crystal structure of La4GaCl5.

Summary:
Density (g cm⁻³): 4.07
Formation energy from raw total energies (kcal/mol of atoms): -39.956
Raw total energy (eV per atom): -4.93

extended XYZ file:
```
10
Lattice="4.264 0.000 0.000 0.000 8.579 -0.394 -2.132 -1.623 9.037" Properties=species:S:1:pos:R:3 pbc="T T T"
Cl 2.132 4.831 5.724
Cl 2.132 4.289 -0.197
La 2.132 0.141 2.913
La 2.132 4.880 8.691
Ga 2.132 0.000 0.000
La 0.000 6.815 5.730
La 0.000 2.075 -0.048
Cl 0.000 2.125 2.919
Cl 0.000 6.654 2.667
Cl 2.132 0.302 5.976
```

Density functional theory data (PBE-GGA) for an optimized crystal structure of La5Ga2Cl3.

Summary:
Density (g cm⁻³): 5.41
Formation energy from raw total energies (kcal/mol of atoms): -26.992
Raw total energy (eV per atom): -4.79

extended XYZ file:
```
10
Lattice="3.848 0.000 0.854 1.575 7.718 2.001 -0.077 -1.220 9.443" Properties=species:S:1:pos:R:3 pbc="T T T"
La 0.000 0.000 0.000
La 2.063 3.829 8.898
La 0.674 0.766 6.059
La 4.672 5.732 6.238
Ga 3.983 6.203 9.342
La 3.283 2.669 3.400
Cl 3.866 1.647 9.868
Ga 1.363 0.294 2.956
Cl 2.673 3.249 6.149
Cl 1.479 4.850 2.430
```